Here is an optimized crystal structure of HfRu3Br from the Alexandria database. Energies are from GGA-PBE.

Results
Symmetry: Pm-3m, No. 221
Magnetic moment: 5.00 μB per cell
Energy relative to the elements, uncorrected: 1.655 eV/atom

The structure in CIF format:
```
data_HfRu3Br
_cell_length_a 4.9000
_cell_length_b 4.9000
_cell_length_c 4.9000
_cell_angle_alpha 90.00
_cell_angle_beta 90.00
_cell_angle_gamma 90.00
_space_group_name_H-M_alt 'P 1'
_space_group_IT_number 1
loop_
_space_group_symop_operation_xyz
'x,y,z'
loop_
_atom_site_label
_atom_site_type_symbol
_atom_site_fract_x
_atom_site_fract_y
_atom_site_fract_z
Ru1 Ru 0.0000 0.5000 0.0000
Ru2 Ru 0.0000 0.0000 0.5000
Ru3 Ru 0.5000 0.0000 0.0000
Hf1 Hf 0.0000 0.0000 0.0000
Br1 Br 0.5000 0.5000 0.5000
```

***

Here is an optimized crystal structure of Ho2In5Pd12 from the Alexandria database. Energies are from GGA-PBE.

Results
Symmetry: C2/m, No. 12
Magnetic moment: 0.00 μB per cell
E_form: -0.458 eV per atom

The structure in CIF format:
```
data_Ho2In5Pd12
_cell_length_a 8.3138
_cell_length_b 7.7163
_cell_length_c 6.6444
_cell_angle_alpha 86.98
_cell_angle_beta 90.00
_cell_angle_gamma 122.60
_space_group_name_H-M_alt 'P 1'
_space_group_IT_number 1
loop_
_space_group_symop_operation_xyz
'x,y,z'
loop_
_atom_site_label
_atom_site_type_symbol
_atom_site_fract_x
_atom_site_fract_y
_atom_site_fract_z
Ho1 Ho 0.7761 0.0000 0.0000
Ho2 Ho 0.2239 0.0000 0.0000
In1 In 0.2280 0.4559 0.5219
In2 In 0.3394 0.6788 0.1114
In3 In 0.0000 0.0000 0.5000
In4 In 0.6606 0.3212 0.8886
In5 In 0.7720 0.5441 0.4781
Pd1 Pd 0.1292 0.2584 0.1617
Pd2 Pd 0.0743 0.5500 0.8094
Pd3 Pd 0.4756 0.5500 0.8094
Pd4 Pd 0.1860 0.7937 0.4272
Pd5 Pd 0.6078 0.7937 0.4272
Pd6 Pd 0.4549 0.9098 0.7482
Pd7 Pd 0.5451 0.0902 0.2518
Pd8 Pd 0.8140 0.2063 0.5728
Pd9 Pd 0.3922 0.2063 0.5728
Pd10 Pd 0.9257 0.4500 0.1906
Pd11 Pd 0.5244 0.4500 0.1906
Pd12 Pd 0.8708 0.7416 0.8383
```

***

Here is an optimized crystal structure of Sc2TlHN from the Alexandria database. Energies are from GGA-PBE.

Results
Symmetry: P4/mmm, No. 123
Raw total energy: -5.340 eV/atom
Magnetic moment: 0.00 μB per cell

The structure in CIF format:
```
data_Sc2TlHN
_cell_length_a 4.2571
_cell_length_b 4.2571
_cell_length_c 5.5500
_cell_angle_alpha 90.00
_cell_angle_beta 90.00
_cell_angle_gamma 90.00
_space_group_name_H-M_alt 'P 1'
_space_group_IT_number 1
loop_
_space_group_symop_operation_xyz
'x,y,z'
loop_
_atom_site_label
_atom_site_type_symbol
_atom_site_fract_x
_atom_site_fract_y
_atom_site_fract_z
Sc1 Sc 0.0000 0.5000 0.0000
Sc2 Sc 0.5000 0.0000 0.0000
H1 H 0.5000 0.5000 0.5000
Tl1 Tl 0.0000 0.0000 0.5000
N1 N 0.0000 0.0000 0.0000
```

***

Here is an optimized crystal structure of PmCd2I8 from the Alexandria database. Energies are from GGA-PBE.

Results
Symmetry: C2/m, No. 12
Magnetic moment: 0.00 μB per cell
Energy relative to the elements, uncorrected: -0.767 eV/atom

The structure in CIF format:
```
data_PmCd2I8
_cell_length_a 6.9697
_cell_length_b 9.0025
_cell_length_c 9.0025
_cell_angle_alpha 93.84
_cell_angle_beta 87.33
_cell_angle_gamma 87.33
_space_group_name_H-M_alt 'P 1'
_space_group_IT_number 1
loop_
_space_group_symop_operation_xyz
'x,y,z'
loop_
_atom_site_label
_atom_site_type_symbol
_atom_site_fract_x
_atom_site_fract_y
_atom_site_fract_z
Pm1 Pm 0.0000 0.0000 0.0000
Cd1 Cd 0.3372 0.2409 0.2409
Cd2 Cd 0.6628 0.7591 0.7591
I1 I 0.7718 0.0543 0.7163
I2 I 0.2282 0.2837 0.9457
I3 I 0.7460 0.2180 0.2180
I4 I 0.2540 0.7820 0.7820
I5 I 0.7718 0.7163 0.0543
I6 I 0.2282 0.9457 0.2837
I7 I 0.2546 0.4702 0.4702
I8 I 0.7454 0.5298 0.5298
```

***

Here is an optimized crystal structure of Ho3PtAu from the Alexandria database. Energies are from GGA-PBE.

Results
Symmetry: Pmmn, No. 59
Magnetic moment: 0.00 μB per cell
E_form: -0.844 eV per atom

The structure in CIF format:
```
data_Ho3PtAu
_cell_length_a 4.1424
_cell_length_b 7.1331
_cell_length_c 8.7951
_cell_angle_alpha 90.00
_cell_angle_beta 90.00
_cell_angle_gamma 90.00
_space_group_name_H-M_alt 'P 1'
_space_group_IT_number 1
loop_
_space_group_symop_operation_xyz
'x,y,z'
loop_
_atom_site_label
_atom_site_type_symbol
_atom_site_fract_x
_atom_site_fract_y
_atom_site_fract_z
Ho1 Ho 0.7500 0.7500 0.0595
Ho2 Ho 0.2500 0.2500 0.9405
Ho3 Ho 0.7500 0.9933 0.6725
Ho4 Ho 0.7500 0.5067 0.6725
Ho5 Ho 0.2500 0.0067 0.3275
Ho6 Ho 0.2500 0.4933 0.3275
Pt1 Pt 0.7500 0.7500 0.4056
Pt2 Pt 0.2500 0.2500 0.5944
Au1 Au 0.7500 0.2500 0.1675
Au2 Au 0.2500 0.7500 0.8325
```

***

Here is an optimized crystal structure of Tm2Th2Ir15 from the Alexandria database. Energies are from GGA-PBE.

Results
Symmetry: R-3m, No. 166
Magnetic moment: 0.00 μB per cell
E_form: -0.449 eV per atom

The structure in CIF format:
```
data_Tm2Th2Ir15
_cell_length_a 6.9668
_cell_length_b 6.9668
_cell_length_c 6.9668
_cell_angle_alpha 82.64
_cell_angle_beta 82.64
_cell_angle_gamma 82.64
_space_group_name_H-M_alt 'P 1'
_space_group_IT_number 1
loop_
_space_group_symop_operation_xyz
'x,y,z'
loop_
_atom_site_label
_atom_site_type_symbol
_atom_site_fract_x
_atom_site_fract_y
_atom_site_fract_z
Tm1 Tm 0.1062 0.1062 0.1062
Tm2 Tm 0.8938 0.8938 0.8938
Th1 Th 0.3548 0.3548 0.3548
Th2 Th 0.6452 0.6452 0.6452
Ir1 Ir 0.5000 0.0000 0.0000
Ir2 Ir 0.0000 0.0000 0.5000
Ir3 Ir 0.0000 0.5000 0.0000
Ir4 Ir 0.0000 0.6962 0.3038
Ir5 Ir 0.6962 0.3038 0.0000
Ir6 Ir 0.3038 0.0000 0.6962
Ir7 Ir 0.3038 0.6962 0.0000
Ir8 Ir 0.6962 0.0000 0.3038
Ir9 Ir 0.0000 0.3038 0.6962
Ir10 Ir 0.1557 0.6491 0.6491
Ir11 Ir 0.6491 0.6491 0.1557
Ir12 Ir 0.6491 0.1557 0.6491
Ir13 Ir 0.8443 0.3509 0.3509
Ir14 Ir 0.3509 0.3509 0.8443
Ir15 Ir 0.3509 0.8443 0.3509
```

***

Here is an optimized crystal structure of Cu3Sb from the Alexandria database. Energies are from GGA-PBE.

Results
Symmetry: Pm-3m, No. 221
Magnetic moment: 0.00 μB per cell
Energy relative to the elements, uncorrected: 0.077 eV/atom

The structure in CIF format:
```
data_Cu3Sb
_cell_length_a 3.9056
_cell_length_b 3.9056
_cell_length_c 3.9056
_cell_angle_alpha 90.00
_cell_angle_beta 90.00
_cell_angle_gamma 90.00
_space_group_name_H-M_alt 'P 1'
_space_group_IT_number 1
loop_
_space_group_symop_operation_xyz
'x,y,z'
loop_
_atom_site_label
_atom_site_type_symbol
_atom_site_fract_x
_atom_site_fract_y
_atom_site_fract_z
Sb1 Sb 0.0000 0.0000 0.0000
Cu1 Cu 0.0000 0.5000 0.5000
Cu2 Cu 0.5000 0.0000 0.5000
Cu3 Cu 0.5000 0.5000 0.0000
```

***

Here is an optimized crystal structure of PuH7Rh2 from the Alexandria database. Energies are from GGA-PBE.

Results
Symmetry: Cmmm, No. 65
Raw total energy: -5.458 eV/atom
Magnetic moment: 6.11 μB per cell

The structure in CIF format:
```
data_PuH7Rh2
_cell_length_a 3.4658
_cell_length_b 5.1982
_cell_length_c 5.3468
_cell_angle_alpha 119.08
_cell_angle_beta 90.00
_cell_angle_gamma 90.00
_space_group_name_H-M_alt 'P 1'
_space_group_IT_number 1
loop_
_space_group_symop_operation_xyz
'x,y,z'
loop_
_atom_site_label
_atom_site_type_symbol
_atom_site_fract_x
_atom_site_fract_y
_atom_site_fract_z
Pu1 Pu 0.0000 0.0000 0.0000
H1 H 0.0000 0.3352 0.6704
H2 H 0.0000 0.6648 0.3296
H3 H 0.5000 0.3214 0.2935
H4 H 0.5000 0.6786 0.7065
H5 H 0.5000 0.0279 0.7065
H6 H 0.5000 0.9721 0.2935
H7 H 0.5000 0.5000 0.0000
Rh1 Rh 0.5000 0.3175 0.6351
Rh2 Rh 0.5000 0.6825 0.3649
```

***

Here is an optimized crystal structure of LaAlSb4 from the Alexandria database. Energies are from GGA-PBE.

Results
Symmetry: F-43m, No. 216
Magnetic moment: 0.00 μB per cell
Energy relative to the elements, uncorrected: -0.062 eV/atom

The structure in CIF format:
```
data_LaAlSb4
_cell_length_a 6.2683
_cell_length_b 6.2683
_cell_length_c 6.2683
_cell_angle_alpha 60.00
_cell_angle_beta 60.00
_cell_angle_gamma 60.00
_space_group_name_H-M_alt 'P 1'
_space_group_IT_number 1
loop_
_space_group_symop_operation_xyz
'x,y,z'
loop_
_atom_site_label
_atom_site_type_symbol
_atom_site_fract_x
_atom_site_fract_y
_atom_site_fract_z
La1 La 0.0000 0.0000 0.0000
Al1 Al 0.7500 0.7500 0.7500
Sb1 Sb 0.8716 0.3761 0.3761
Sb2 Sb 0.3761 0.3761 0.8716
Sb3 Sb 0.3761 0.8716 0.3761
Sb4 Sb 0.3761 0.3761 0.3761
```

***

Here is an optimized crystal structure of Sc2TeRu2 from the Alexandria database. Energies are from GGA-PBE.

Results
Symmetry: P4/mbm, No. 127
Magnetic moment: 0.00 μB per cell
Energy relative to the elements, uncorrected: -0.358 eV/atom

The structure in CIF format:
```
data_Sc2TeRu2
_cell_length_a 6.9477
_cell_length_b 6.9477
_cell_length_c 3.9418
_cell_angle_alpha 90.00
_cell_angle_beta 90.00
_cell_angle_gamma 90.00
_space_group_name_H-M_alt 'P 1'
_space_group_IT_number 1
loop_
_space_group_symop_operation_xyz
'x,y,z'
loop_
_atom_site_label
_atom_site_type_symbol
_atom_site_fract_x
_atom_site_fract_y
_atom_site_fract_z
Sc1 Sc 0.1745 0.6745 0.5000
Sc2 Sc 0.6745 0.8255 0.5000
Sc3 Sc 0.8255 0.3255 0.5000
Sc4 Sc 0.3255 0.1745 0.5000
Ru1 Ru 0.3725 0.8725 0.0000
Ru2 Ru 0.8725 0.6275 0.0000
Ru3 Ru 0.6275 0.1275 0.0000
Ru4 Ru 0.1275 0.3725 0.0000
Te1 Te 0.0000 0.0000 0.0000
Te2 Te 0.5000 0.5000 0.0000
```

***

Here is an optimized crystal structure of ScTl2CuRe from the Alexandria database. Energies are from GGA-PBE.

Results
Symmetry: P4/mmm, No. 123
Magnetic moment: 3.50 μB per cell
E_form: 1.732 eV per atom

The structure in CIF format:
```
data_ScTl2CuRe
_cell_length_a 5.5216
_cell_length_b 4.7175
_cell_length_c 5.5216
_cell_angle_alpha 90.00
_cell_angle_beta 90.00
_cell_angle_gamma 90.00
_space_group_name_H-M_alt 'P 1'
_space_group_IT_number 1
loop_
_space_group_symop_operation_xyz
'x,y,z'
loop_
_atom_site_label
_atom_site_type_symbol
_atom_site_fract_x
_atom_site_fract_y
_atom_site_fract_z
Sc1 Sc 0.0000 0.0000 0.0000
Re1 Re 0.5000 0.5000 0.5000
Tl1 Tl 0.0000 0.0000 0.5000
Tl2 Tl 0.5000 0.0000 0.0000
Cu1 Cu 0.0000 0.5000 0.0000
```

***

Here is an optimized crystal structure of NaCSe3 from the Alexandria database. Energies are from GGA-PBE.

Results
Symmetry: Pm-3m, No. 221
Magnetic moment: 0.00 μB per cell
Energy relative to the elements, uncorrected: 0.688 eV/atom

The structure in CIF format:
```
data_NaCSe3
_cell_length_a 4.5505
_cell_length_b 4.5505
_cell_length_c 4.5505
_cell_angle_alpha 90.00
_cell_angle_beta 90.00
_cell_angle_gamma 90.00
_space_group_name_H-M_alt 'P 1'
_space_group_IT_number 1
loop_
_space_group_symop_operation_xyz
'x,y,z'
loop_
_atom_site_label
_atom_site_type_symbol
_atom_site_fract_x
_atom_site_fract_y
_atom_site_fract_z
Na1 Na 0.5000 0.5000 0.5000
C1 C 0.0000 0.0000 0.0000
Se1 Se 0.0000 0.5000 0.0000
Se2 Se 0.0000 0.0000 0.5000
Se3 Se 0.5000 0.0000 0.0000
```